VASP calculation (PBE) on crystalline RbCo2AuCl at its relaxed geometry.

## Properties
D(E_F) in states/eV per cell: 0.44
Final energy in eV/atom: -3.361
ΔE_f (raw) in kJ/mol of formula units: 337
Symmetry: P4/mmm

Unit cell a=4.3218 b=4.3218 c=7.3803 alpha=90.00 beta=90.00 gamma=90.00
Closest atoms and distances in Å follow each position.
Positions (direct):
Rb 0.0000 0.0000 0.0000  4 Au 3.06
Co 0.0000 0.5000 0.5000  2 Cl 2.16
Co 0.5000 0.0000 0.5000  2 Cl 2.16
Au 0.5000 0.5000 0.0000  4 Rb 3.06
Cl 0.5000 0.5000 0.5000  4 Co 2.16